Density functional theory data (PBE-GGA) for a relaxed structure of Hf2CoB.

Calculated values
The value obtained for the total energy is -7.822 eV per atom. The distance to the lowest polymorph of the same formula comes out at 3.041 eV per formula unit.

Unit cell a=4.3192 b=4.3192 c=4.3192 alpha=60.00 beta=60.00 gamma=60.00
Positions (direct):
1 Co 0.2500 0.2500 0.2500
2 B 0.5000 0.5000 0.5000
3 Hf 0.0000 0.0000 0.0000
4 Hf 0.7500 0.7500 0.7500